[1]
{
  "formula": "CoH2Rh",
  "functional": "PBE-GGA",
  "state": "relaxed",
  "cell": [[-1.047, -1.983, 3.909], [4.569, -0.824, 0.806], [0.429, 4.945, 2.621]],
  "species": ["H", "H", "Co", "H", "Rh", "H", "Co", "Co", "H", "Rh", "Rh", "H", "H", "Co", "H", "Rh"],
  "frac_coords": [[0.000, 0.750, 0.661], [0.000, 0.750, 0.123], [0.250, 0.417, 0.112], [0.500, 0.750, 0.661], [0.250, 0.929, 0.361], [0.500, 0.250, 0.877], [0.750, 0.583, 0.888], [0.750, 0.083, 0.112], [0.000, 0.250, 0.339], [0.250, 0.429, 0.639], [0.750, 0.571, 0.361], [0.000, 0.250, 0.877], [0.500, 0.250, 0.339], [0.250, 0.917, 0.888], [0.500, 0.750, 0.123], [0.750, 0.071, 0.639]],
  "e_tot_ev_per_atom": -5.241,
  "magnetic_moment_mub_per_fu": 1.9
}

***

[2]
{
  "formula": "CoH2Rh",
  "functional": "PBE-GGA",
  "state": "relaxed",
  "cell": [[2.734, 0.000, 0.000], [1.367, 2.368, 0.000], [1.367, 0.789, 4.777]],
  "species": ["Co", "H", "H", "Rh"],
  "frac_coords": [[0.488, 0.488, 0.537], [0.090, 0.090, 0.730], [0.256, 0.256, 0.233], [0.667, 0.667, 0.999]],
  "e_tot_ev_per_atom": -5.161,
  "magnetic_moment_mub_per_fu": 1.7
}

***

[3]
{
  "formula": "CoH3Rh",
  "functional": "PBE-GGA",
  "state": "relaxed",
  "cell": [[2.672, 0.384, 0.262], [0.642, 5.313, -0.387], [0.701, 0.544, 6.223]],
  "species": ["H", "H", "Rh", "H", "H", "H", "Co", "Rh", "Co", "H"],
  "frac_coords": [[0.860, 0.313, 0.964], [0.140, 0.687, 0.036], [0.142, 0.227, 0.493], [0.800, 0.060, 0.342], [0.094, 0.491, 0.319], [0.906, 0.509, 0.681], [0.350, 0.465, 0.837], [0.858, 0.773, 0.507], [0.650, 0.535, 0.163], [0.200, 0.940, 0.658]],
  "e_tot_ev_per_atom": -4.740,
  "magnetic_moment_mub_per_fu": 1.5
}

***

[4]
{
  "formula": "CoHRh2",
  "functional": "PBE-GGA",
  "state": "relaxed",
  "cell": [[2.676, 0.000, 0.000], [0.000, 2.676, 0.000], [0.000, 0.000, 6.048]],
  "species": ["Rh", "Co", "H", "Rh"],
  "frac_coords": [[0.000, 0.000, 0.789], [0.500, 0.500, 0.500], [0.500, 0.500, 0.000], [0.000, 0.000, 0.211]],
  "e_tot_ev_per_atom": -6.021,
  "relative_energy_ev_per_fu": 0.88,
  "magnetic_moment_mub_per_fu": 2.2
}

***

[5]
{
  "formula": "CoHRh2",
  "functional": "PBE-GGA",
  "state": "relaxed",
  "cell": [[5.909, 0.000, 0.000], [0.000, 5.909, 0.000], [2.954, 2.954, 2.539]],
  "species": ["Co", "Co", "H", "Rh", "Rh", "Rh", "H", "Rh"],
  "frac_coords": [[0.000, 0.000, 0.000], [0.750, 0.250, 0.500], [0.250, 0.750, 0.500], [0.217, 0.625, 0.250], [0.375, 0.467, 0.750], [0.875, 0.783, 0.750], [0.500, 0.500, 0.000], [0.533, 0.125, 0.250]],
  "e_tot_ev_per_atom": -6.106,
  "relative_energy_ev_per_fu": 0.54,
  "magnetic_moment_mub_per_fu": 3.2
}

***

[6]
{
  "formula": "CoH2Rh",
  "functional": "PBE-GGA",
  "state": "relaxed",
  "cell": [[-2.293, 1.786, 2.052], [-0.459, 3.496, -0.472], [-3.041, 1.225, -1.381]],
  "species": ["Co", "H", "H", "Rh"],
  "frac_coords": [[0.000, 0.000, 0.000], [0.750, 0.750, 0.750], [0.250, 0.250, 0.250], [0.500, 0.500, 0.500]],
  "e_tot_ev_per_atom": -4.777,
  "magnetic_moment_mub_per_fu": 1.7
}

***

[7]
{
  "formula": "ScCoHRh2",
  "functional": "PBE-GGA",
  "state": "relaxed",
  "cell": [[-1.291, -2.561, -2.655], [1.948, -2.862, 1.813], [-3.204, -0.740, 2.273]],
  "species": ["Sc", "Co", "Rh", "H", "Rh"],
  "frac_coords": [[0.000, 0.000, 0.500], [0.500, 0.500, 0.500], [0.000, 0.500, 0.000], [0.000, 0.000, 0.000], [0.500, 0.000, 0.000]],
  "e_tot_ev_per_atom": -6.654,
  "relative_energy_ev_per_fu": 0.32,
  "magnetic_moment_mub_per_fu": 2.0
}

***

[8]
{
  "formula": "ScCoHRh2",
  "functional": "PBE-GGA",
  "state": "relaxed",
  "cell": [[3.976, 0.000, 0.000], [0.000, 3.976, 0.000], [0.000, 0.000, 3.753]],
  "species": ["Sc", "H", "Rh", "Co", "Rh"],
  "frac_coords": [[0.500, 0.500, 0.500], [0.000, 0.000, 0.000], [0.500, 0.000, 0.000], [0.000, 0.000, 0.500], [0.000, 0.500, 0.000]],
  "e_tot_ev_per_atom": -6.719,
  "relative_energy_ev_per_fu": 0.00,
  "magnetic_moment_mub_per_fu": 0.0
}

***

Which formula does entry 2 have? CoH2Rh

***

Repeat the third record exactly.
{
  "formula": "CoH3Rh",
  "functional": "PBE-GGA",
  "state": "relaxed",
  "cell": [[2.672, 0.384, 0.262], [0.642, 5.313, -0.387], [0.701, 0.544, 6.223]],
  "species": ["H", "H", "Rh", "H", "H", "H", "Co", "Rh", "Co", "H"],
  "frac_coords": [[0.860, 0.313, 0.964], [0.140, 0.687, 0.036], [0.142, 0.227, 0.493], [0.800, 0.060, 0.342], [0.094, 0.491, 0.319], [0.906, 0.509, 0.681], [0.350, 0.465, 0.837], [0.858, 0.773, 0.507], [0.650, 0.535, 0.163], [0.200, 0.940, 0.658]],
  "e_tot_ev_per_atom": -4.740,
  "magnetic_moment_mub_per_fu": 1.5
}